Si3C, relaxed, DFT PBE; total magnetization = 0.0000 μB/atom; DOS at the Fermi energy = 1.134 states/eV/cell; VASP energy = -5.625 eV/atom; formation energy from raw total energies = 748 meV/atom
1.0
2.773 0.000 0.000
0.000 2.928 0.000
0.000 0.000 5.945
Si C
3 1
Direct
0.500 0.000 0.584 Si
0.500 0.500 0.941 Si
0.000 0.500 0.309 Si
0.000 0.000 0.834 C